i:
Here is an optimized crystal structure of LiPOsCl2 from Alexandria. Energies are from PBE-GGA.

a b c (Å): 3.9486 3.9486 7.4014
angles (deg): 90.00 90.00 90.00
With the nearest neighbours (Å) after each atom.
Fractional coordinates of all 5 atoms:
1 P 0.0000 0.0000 0.5000  4 Os 2.79
2 Li 0.0000 0.0000 0.0000  4 Cl 1.97
3 Os 0.5000 0.5000 0.5000  4 P 2.79
4 Cl 0.0000 0.5000 0.0000  2 Li 1.97
5 Cl 0.5000 0.0000 0.0000  2 Li 1.97

SG   No. 123
Density of states at the Fermi level   5.50 states/eV/f.u.

---

ii:
Here is an optimized crystal structure of LiPOsCl2 from Alexandria. Energies are from PBE-GGA.

a b c (Å): 5.0628 5.0628 4.4511
angles (deg): 90.00 90.00 90.00
With the nearest neighbours (Å) after each atom.
Fractional coordinates of all 5 atoms:
1 P 0.0000 0.0000 0.5000  2 Os 2.23
2 Li 0.5000 0.5000 0.5000  8 Cl 3.37, 4 P 3.58
3 Os 0.0000 0.0000 0.0000  2 P 2.23
4 Cl 0.0000 0.5000 0.0000  2 Os 2.53
5 Cl 0.5000 0.0000 0.0000  2 Os 2.53

SG   No. 123
Density of states at the Fermi level   4.45 states/eV/f.u.

---

Quick look at relative energies in kJ/mol of atoms: i 85.8; ii 0.0.

---

i:
Here is an optimized crystal structure of LiPCl from Alexandria. Energies are from PBE-GGA.

a b c (Å): 3.3575 3.7504 11.0242
angles (deg): 99.38 96.22 89.96
With the nearest neighbours (Å) after each atom.
Fractional coordinates of all 6 atoms:
1 Li 0.7016 0.0510 0.7831  5 Cl 2.47-2.53
2 Li 0.2741 0.6477 0.9872  5 Cl 2.47-2.53
3 P 0.8665 0.0343 0.3888  2 P 2.14
4 P 0.3673 0.6813 0.3889  2 P 2.14
5 Cl 0.7831 0.1597 0.0118  5 Li 2.47-2.53
6 Cl 0.1931 0.5391 0.7586  5 Li 2.47-2.53

SG   No. 1
Density of states at the Fermi level   0.64 states/eV/f.u.

---

ii:
Here is an optimized crystal structure of LiPCl from Alexandria. Energies are from PBE-GGA.

a b c (Å): 5.7474 5.7474 5.7474
angles (deg): 149.04 136.88 54.02
With the nearest neighbours (Å) after each atom.
Fractional coordinates of all 3 atoms:
1 Cl 0.9810 0.9810 0.0000  1 P 2.10
2 Li 0.2426 0.2426 0.0000  4 P 2.63, 1 Cl 2.68
3 P 0.7763 0.7763 0.0000  1 Cl 2.10

SG   No. 44
Density of states at the Fermi level   0.60 states/eV/f.u.

---

iii:
Here is an optimized crystal structure of LiPCl from Alexandria. Energies are from PBE-GGA.

a b c (Å): 4.4005 4.4005 3.1673
angles (deg): 90.00 90.00 120.00
With the nearest neighbours (Å) after each atom.
Fractional coordinates of all 3 atoms:
1 Cl 0.0000 0.0000 0.1662  3 Li 2.54
2 Li 0.3333 0.6667 0.1669  3 Cl 2.54
3 P 0.6667 0.3333 0.6668  6 Cl 2.99, 6 Li 2.99, 2 P 3.17

SG   No. 187
Density of states at the Fermi level   2.12 states/eV/f.u.

---

iv:
Here is an optimized crystal structure of LiPCl from Alexandria. Energies are from PBE-GGA.

a b c (Å): 10.8993 3.5648 6.1743
angles (deg): 90.00 90.08 90.00
With the nearest neighbours (Å) after each atom.
Fractional coordinates of all 12 atoms:
1 P 0.6655 0.0000 0.1812  3 P 2.37
2 P 0.6655 0.5000 0.6812  3 P 2.37
3 P 0.5579 0.0000 0.8476  3 P 2.37
4 P 0.5579 0.5000 0.3476  3 P 2.37
5 Cl 0.9146 0.0000 0.5154  3 Li 2.27
6 Cl 0.9146 0.5000 0.0154  3 Li 2.27
7 Cl 0.2276 0.0000 0.1793  4 Li 2.26-2.45
8 Cl 0.2276 0.5000 0.6793  4 Li 2.26-2.45
9 Li 0.3134 0.0000 0.8461  3 Cl 2.26
10 Li 0.3134 0.5000 0.3461  3 Cl 2.26
11 Li 0.0024 0.0000 0.1823  4 Cl 2.27-2.45
12 Li 0.0024 0.5000 0.6823  4 Cl 2.27-2.45

SG   No. 8

---

Quick look at relative energies in kJ/mol of atoms: i 4.4; ii 64.4; iii 114.5; iv 0.0.

---

i:
Here is an optimized crystal structure of LiPCl4 from Alexandria. Energies are from PBE-GGA.

a b c (Å): 6.1444 6.1444 6.6849
angles (deg): 117.36 117.36 90.00
With the nearest neighbours (Å) after each atom.
Fractional coordinates of all 6 atoms:
1 Li 0.7500 0.2500 0.5000  4 Cl 2.42
2 P 0.5000 0.5000 0.0000  4 Cl 2.30
3 Cl 0.4183 0.8611 0.2473  1 P 2.30, 1 Li 2.42
4 Cl 0.8290 0.3862 0.2473  1 P 2.30, 1 Li 2.42
5 Cl 0.1389 0.1710 0.7527  1 P 2.30, 1 Li 2.42
6 Cl 0.6138 0.5817 0.7527  1 P 2.30, 1 Li 2.42

SG   No. 82
Density of states at the Fermi level   0.00 states/eV/f.u.

---

ii:
Here is an optimized crystal structure of LiPCl4 from Alexandria. Energies are from PBE-GGA.

a b c (Å): 6.0042 6.0042 6.0042
angles (deg): 60.00 60.00 60.00
With the nearest neighbours (Å) after each atom.
Fractional coordinates of all 6 atoms:
1 Li 0.7500 0.7500 0.7500  12 Cl 3.52, 4 P 3.68
2 P 0.0000 0.0000 0.0000  12 Cl 3.52, 4 Li 3.68
3 Cl 0.8759 0.3747 0.3747  6 Cl 2.99-3.01
4 Cl 0.3747 0.3747 0.8759  6 Cl 2.99-3.01
5 Cl 0.3747 0.8759 0.3747  6 Cl 2.99-3.01
6 Cl 0.3747 0.3747 0.3747  6 Cl 2.99-3.01

SG   No. 216
Density of states at the Fermi level   7.82 states/eV/f.u.

---

Quick look at relative energies in kJ/mol of atoms: i 0.0; ii 130.8.

---

i:
Here is an optimized crystal structure of LiP2PbCl from Alexandria. Energies are from PBE-GGA.

a b c (Å): 5.0624 4.3272 5.0624
angles (deg): 90.00 90.00 90.00
With the nearest neighbours (Å) after each atom.
Fractional coordinates of all 5 atoms:
1 Pb 0.5000 0.5000 0.5000  8 P 3.33, 4 Li 3.58
2 P 0.0000 0.0000 0.5000  2 Cl 2.53
3 P 0.5000 0.0000 0.0000  2 Cl 2.53
4 Li 0.0000 0.5000 0.0000  2 Cl 2.16
5 Cl 0.0000 0.0000 0.0000  2 Li 2.16

SG   No. 123
Density of states at the Fermi level   3.78 states/eV/f.u.

---

ii:
Here is an optimized crystal structure of LiP2PbCl from Alexandria. Energies are from PBE-GGA.

a b c (Å): 5.4029 5.4029 5.7083
angles (deg): 90.00 90.00 90.00
With the nearest neighbours (Å) after each atom.
Fractional coordinates of all 5 atoms:
1 Pb 0.0000 0.0000 0.0000  4 P 2.70, 2 Cl 2.85
2 P 0.0000 0.5000 0.0000  2 Pb 2.70
3 P 0.5000 0.0000 0.0000  2 Pb 2.70
4 Li 0.5000 0.5000 0.5000  4 Cl 3.82, 8 P 3.93
5 Cl 0.0000 0.0000 0.5000  2 Pb 2.85

SG   No. 123
Density of states at the Fermi level   3.00 states/eV/f.u.

---

iii:
Here is an optimized crystal structure of LiP2PbCl from Alexandria. Energies are from PBE-GGA.

a b c (Å): 4.4978 4.4978 7.0515
angles (deg): 90.00 90.00 90.00
With the nearest neighbours (Å) after each atom.
Fractional coordinates of all 5 atoms:
1 Pb 0.5000 0.5000 0.5000  4 Cl 3.18
2 P 0.0000 0.5000 0.0000  2 Li 2.25
3 P 0.5000 0.0000 0.0000  2 Li 2.25
4 Li 0.0000 0.0000 0.0000  4 P 2.25
5 Cl 0.0000 0.0000 0.5000  4 Pb 3.18, 2 Li 3.53

SG   No. 123
Density of states at the Fermi level   4.32 states/eV/f.u.

---

Quick look at relative energies in kJ/mol of atoms: i 0.0; ii 15.6; iii 4.7.